1.
DFT (meta-GGA SCAN) results for CrIrBr2 at its PBEsol-relaxed geometry.

Properties
ρ = 8.30 Mg/m³
energy above the most stable polymorph in this dataset = 0 meV per atom
M_tot = 9.977 Bohr magnetons per cell
VASP energy = -31.57 eV per atom

```
data_CrIrBr2
_chemical_formula_sum 'Cr2 Ir2 Br4'
_symmetry_space_group_name_H-M 'C m m m'
_symmetry_Int_Tables_number 65
_symmetry_space_group_name_Hall '-C 2 2'
_cell_length_a 6.217
_cell_length_b 6.541
_cell_length_c 3.974
_cell_angle_alpha 90.00
_cell_angle_beta 90.00
_cell_angle_gamma 90.00
loop_
_atom_site_label
_atom_site_fract_x
_atom_site_fract_y
_atom_site_fract_z
Cr1 0.000 0.000 0.000
Ir1 0.000 0.500 0.000
Br1 0.000 0.265 0.500
```

2.
DFT (meta-GGA SCAN) results for NdHo3 at its PBEsol-relaxed geometry.

Properties
ρ = 8.84 Mg/m³
energy above the most stable polymorph in this dataset = 8 meV per atom
M_tot = 0.004 Bohr magnetons per cell
VASP energy = -47.61 eV per atom

```
data_NdHo3
_chemical_formula_sum 'Nd2 Ho6'
_symmetry_space_group_name_H-M 'I 4/m m m'
_symmetry_Int_Tables_number 139
_symmetry_space_group_name_Hall '-I 4 2'
_cell_length_a 4.937
_cell_length_b 4.937
_cell_length_c 9.855
_cell_angle_alpha 90.00
_cell_angle_beta 90.00
_cell_angle_gamma 90.00
loop_
_atom_site_label
_atom_site_fract_x
_atom_site_fract_y
_atom_site_fract_z
Nd1 0.000 0.000 0.000
Ho1 0.000 0.000 0.500
Ho2 0.000 0.500 0.250
```

3.
DFT (meta-GGA SCAN) results for BeSiPb at its PBEsol-relaxed geometry.

Properties
ρ = 6.12 Mg/m³
M_tot = 0.000 Bohr magnetons per cell
VASP energy = -29.02 eV per atom

```
data_BeSiPb
_chemical_formula_sum 'Be4 Si4 Pb4'
_symmetry_space_group_name_H-M 'F -4 3 m'
_symmetry_Int_Tables_number 216
_symmetry_space_group_name_Hall 'F -4 2 3'
_cell_length_a 6.426
_cell_length_b 6.426
_cell_length_c 6.426
_cell_angle_alpha 90.00
_cell_angle_beta 90.00
_cell_angle_gamma 90.00
loop_
_atom_site_label
_atom_site_fract_x
_atom_site_fract_y
_atom_site_fract_z
Be1 0.000 0.000 0.000
Si1 0.000 0.000 0.500
Pb1 0.250 0.250 0.750
```

4.
DFT (meta-GGA SCAN) results for ScCo3C at its PBEsol-relaxed geometry.

Properties
ρ = 7.30 Mg/m³
energy above the most stable polymorph in this dataset = 0 meV per atom
M_tot = 0.010 Bohr magnetons per cell
VASP energy = -15.41 eV per atom

```
data_ScCo3C
_chemical_formula_sum 'Sc1 Co3 C1'
_symmetry_space_group_name_H-M 'P m -3 m'
_symmetry_Int_Tables_number 221
_symmetry_space_group_name_Hall '-P 4 2 3'
_cell_length_a 3.761
_cell_length_b 3.761
_cell_length_c 3.761
_cell_angle_alpha 90.00
_cell_angle_beta 90.00
_cell_angle_gamma 90.00
loop_
_atom_site_label
_atom_site_fract_x
_atom_site_fract_y
_atom_site_fract_z
Sc1 0.000 0.000 0.000
Co1 0.000 0.500 0.500
C1 0.500 0.500 0.500
```

5.
DFT (meta-GGA SCAN) results for SrLiH3 at its PBEsol-relaxed geometry.

Properties
ρ = 3.05 Mg/m³
energy above the most stable polymorph in this dataset = 0 meV per atom
M_tot = 0.000 Bohr magnetons per cell
VASP energy = -7.62 eV per atom

```
data_SrLiH3
_chemical_formula_sum 'Sr1 Li1 H3'
_symmetry_space_group_name_H-M 'P m -3 m'
_symmetry_Int_Tables_number 221
_symmetry_space_group_name_Hall '-P 4 2 3'
_cell_length_a 3.757
_cell_length_b 3.757
_cell_length_c 3.757
_cell_angle_alpha 90.00
_cell_angle_beta 90.00
_cell_angle_gamma 90.00
loop_
_atom_site_label
_atom_site_fract_x
_atom_site_fract_y
_atom_site_fract_z
Sr1 0.000 0.000 0.000
Li1 0.500 0.500 0.500
H1 0.000 0.500 0.500
```

6.
DFT (meta-GGA SCAN) results for GaHgRu2S at its PBEsol-relaxed geometry.

Properties
ρ = 8.40 Mg/m³
M_tot = 3.629 Bohr magnetons per cell
VASP energy = -31.40 eV per atom

```
data_GaHgRu2S
_chemical_formula_sum 'Ga1 Hg1 Ru2 S1'
_symmetry_space_group_name_H-M 'P 4/m m m'
_symmetry_Int_Tables_number 123
_symmetry_space_group_name_Hall '-P 4 2'
_cell_length_a 4.584
_cell_length_b 4.584
_cell_length_c 4.747
_cell_angle_alpha 90.00
_cell_angle_beta 90.00
_cell_angle_gamma 90.00
loop_
_atom_site_label
_atom_site_fract_x
_atom_site_fract_y
_atom_site_fract_z
Ga1 0.000 0.000 0.000
Hg1 0.000 0.000 0.500
Ru1 0.000 0.500 0.000
S1 0.500 0.500 0.500
```

7.
DFT (meta-GGA SCAN) results for ZrMn2Cr at its PBEsol-relaxed geometry.

Properties
ρ = 7.98 Mg/m³
energy above the most stable polymorph in this dataset = 111 meV per atom
M_tot = 0.723 Bohr magnetons per cell
VASP energy = -21.36 eV per atom

```
data_ZrMn2Cr
_chemical_formula_sum 'Zr1 Mn2 Cr1'
_symmetry_space_group_name_H-M 'P 4/m m m'
_symmetry_Int_Tables_number 123
_symmetry_space_group_name_Hall '-P 4 2'
_cell_length_a 4.199
_cell_length_b 4.199
_cell_length_c 2.986
_cell_angle_alpha 90.00
_cell_angle_beta 90.00
_cell_angle_gamma 90.00
loop_
_atom_site_label
_atom_site_fract_x
_atom_site_fract_y
_atom_site_fract_z
Zr1 0.000 0.000 0.000
Mn1 0.000 0.500 0.500
Cr1 0.500 0.500 0.000
```

8.
DFT (meta-GGA SCAN) results for TaNiAs2 at its PBEsol-relaxed geometry.

Properties
ρ = 10.64 Mg/m³
M_tot = 0.000 Bohr magnetons per cell
VASP energy = -31.03 eV per atom

```
data_TaNiAs2
_chemical_formula_sum 'Ta1 Ni1 As2'
_symmetry_space_group_name_H-M 'P 4 m m'
_symmetry_Int_Tables_number 99
_symmetry_space_group_name_Hall 'P 4 -2'
_cell_length_a 3.391
_cell_length_b 3.391
_cell_length_c 5.286
_cell_angle_alpha 90.00
_cell_angle_beta 90.00
_cell_angle_gamma 90.00
loop_
_atom_site_label
_atom_site_fract_x
_atom_site_fract_y
_atom_site_fract_z
Ta1 0.000 0.000 0.000
Ni1 0.500 0.500 0.680
As1 0.000 0.000 0.529
As2 0.500 0.500 0.186
```